[1]
VASP calculation (GGA-PBE) on crystalline CsAs3C at its relaxed geometry.

Geometry as POSCAR:
```
CsAs3C
1.0
4.7719 0.0000 0.0000
0.0000 4.7719 0.0000
0.0000 0.0000 4.7719
Cs As C
1 3 1
Direct
0.0000 0.0000 0.0000
0.0000 0.5000 0.5000
0.5000 0.0000 0.5000
0.5000 0.5000 0.0000
0.5000 0.5000 0.5000
```

Values from the calculation:
D(E_F)	3.484	states/eV/f.u.
energy relative to the elements	1.1124	eV/atom
symmetry	Pm-3m (221)
volume	108.7	Å³/cell
E above lowest polymorph	0.0	kJ/mol of formula units
spin magnetization	0.00	Bohr magnetons per cell
energy	-18.5	eV/f.u.


[2]
VASP calculation (GGA-PBE) on crystalline CsAs3C at its relaxed geometry.

Geometry as POSCAR:
```
CsAs3C
1.0
5.7173 0.0000 0.0000
0.0000 5.7173 0.0000
0.0000 0.0000 5.7173
Cs As C
1 3 1
Direct
0.0000 0.0000 0.0000
0.0000 0.0000 0.5000
0.0000 0.5000 0.0000
0.5000 0.0000 0.0000
0.5000 0.5000 0.5000
```

Values from the calculation:
D(E_F)	6.981	states/eV/f.u.
energy relative to the elements	3.1989	eV/atom
symmetry	Pm-3m (221)
volume	186.9	Å³/cell
E above lowest polymorph	1006.6	kJ/mol of formula units
spin magnetization	0.00	Bohr magnetons per cell
energy	-8.0	eV/f.u.


[3]
VASP calculation (GGA-PBE) on crystalline Cs3AsC at its relaxed geometry.

Geometry as POSCAR:
```
Cs3AsC
1.0
6.9175 0.0000 0.0000
0.0000 6.9175 0.0000
0.0000 0.0000 6.9175
Cs As C
3 1 1
Direct
0.0000 0.0000 0.5000
0.0000 0.5000 0.0000
0.5000 0.0000 0.0000
0.0000 0.0000 0.0000
0.5000 0.5000 0.5000
```

Values from the calculation:
D(E_F)	2.250	states/eV/f.u.
energy relative to the elements	1.0086	eV/atom
symmetry	Pm-3m (221)
volume	331.0	Å³/cell
spin magnetization	4.00	Bohr magnetons per cell
energy	-11.4	eV/f.u.


[4]
VASP calculation (GGA-PBE) on crystalline CsNiAsC2 at its relaxed geometry.

Geometry as POSCAR:
```
CsNiAsC2
1.0
4.5608 0.0000 0.0000
0.0000 4.5608 0.0000
0.0000 0.0000 4.8681
Cs Ni As C
1 1 1 2
Direct
0.0000 0.0000 0.0000
0.0000 0.0000 0.5000
0.5000 0.5000 0.5000
0.0000 0.5000 0.0000
0.5000 0.0000 0.0000
```

Values from the calculation:
D(E_F)	3.776	states/eV/f.u.
energy relative to the elements	3.5113	eV/atom
symmetry	P4/mmm (123)
volume	101.3	Å³/cell
spin magnetization	1.34	Bohr magnetons per cell
energy	-12.2	eV/f.u.


[5]
VASP calculation (GGA-PBE) on crystalline CsAsOsC2 at its relaxed geometry.

Geometry as POSCAR:
```
CsAsOsC2
1.0
4.2265 0.0000 0.0000
0.0000 4.2265 0.0000
0.0000 0.0000 4.9298
Cs As Os C
1 1 1 2
Direct
0.0000 0.0000 0.0000
0.5000 0.5000 0.5000
0.5000 0.5000 0.0000
0.0000 0.5000 0.5000
0.5000 0.0000 0.5000
```

Values from the calculation:
D(E_F)	3.360	states/eV/f.u.
energy relative to the elements	2.6197	eV/atom
symmetry	P4/mmm (123)
volume	88.1	Å³/cell
spin magnetization	0.00	Bohr magnetons per cell
energy	-22.1	eV/f.u.


[6]
VASP calculation (GGA-PBE) on crystalline Cs2AsPbC at its relaxed geometry.

Geometry as POSCAR:
```
Cs2AsPbC
1.0
7.1903 0.0000 0.0000
0.0000 7.1903 0.0000
0.0000 0.0000 5.3023
Cs As Pb C
2 1 1 1
Direct
0.0000 0.5000 0.0000
0.5000 0.0000 0.0000
0.0000 0.0000 0.0000
0.0000 0.0000 0.5000
0.5000 0.5000 0.5000
```

Values from the calculation:
D(E_F)	1.564	states/eV/f.u.
energy relative to the elements	1.0701	eV/atom
symmetry	P4/mmm (123)
volume	274.1	Å³/cell
spin magnetization	2.44	Bohr magnetons per cell
energy	-13.9	eV/f.u.


[7]
VASP calculation (GGA-PBE) on crystalline CsAsRhC2 at its relaxed geometry.

Geometry as POSCAR:
```
CsAsRhC2
1.0
4.0514 0.0000 0.0000
0.0000 4.0514 0.0000
0.0000 0.0000 7.0617
Cs As Rh C
1 1 1 2
Direct
0.0000 0.0000 0.0000
0.5000 0.5000 0.0000
0.0000 0.0000 0.5000
0.0000 0.5000 0.5000
0.5000 0.0000 0.5000
```

Values from the calculation:
D(E_F)	3.572	states/eV/f.u.
energy relative to the elements	1.9262	eV/atom
symmetry	P4/mmm (123)
volume	115.9	Å³/cell
spin magnetization	0.00	Bohr magnetons per cell
energy	-21.7	eV/f.u.


[8]
VASP calculation (GGA-PBE) on crystalline Cu3AsC at its relaxed geometry.

Geometry as POSCAR:
```
Cu3AsC
1.0
3.9805 0.0000 0.0000
0.0000 3.9805 0.0000
0.0000 0.0000 3.9805
Cu As C
3 1 1
Direct
0.0000 0.0000 0.5000
0.0000 0.5000 0.0000
0.5000 0.0000 0.0000
0.5000 0.5000 0.5000
0.0000 0.0000 0.0000
```

Values from the calculation:
D(E_F)	3.322	states/eV/f.u.
energy relative to the elements	0.5952	eV/atom
symmetry	Pm-3m (221)
volume	63.1	Å³/cell
E above lowest polymorph	0.0	kJ/mol of formula units
spin magnetization	0.00	Bohr magnetons per cell
energy	-23.2	eV/f.u.


[9]
VASP calculation (GGA-PBE) on crystalline CuAsC3 at its relaxed geometry.

Geometry as POSCAR:
```
CuAsC3
1.0
3.8995 0.0000 0.0000
0.0000 3.8995 0.0000
0.0000 0.0000 3.8995
Cu As C
1 1 3
Direct
0.0000 0.0000 0.0000
0.5000 0.5000 0.5000
0.0000 0.5000 0.5000
0.5000 0.0000 0.5000
0.5000 0.5000 0.0000
```

Values from the calculation:
D(E_F)	1.388	states/eV/f.u.
energy relative to the elements	2.7513	eV/atom
symmetry	Pm-3m (221)
volume	59.3	Å³/cell
E above lowest polymorph	0.0	kJ/mol of formula units
spin magnetization	0.00	Bohr magnetons per cell
energy	-22.7	eV/f.u.


[10]
VASP calculation (GGA-PBE) on crystalline CuAsC3 at its relaxed geometry.

Geometry as POSCAR:
```
CuAsC3
1.0
3.8881 0.0000 0.0000
0.0000 3.8881 0.0000
0.0000 0.0000 3.8881
Cu As C
1 1 3
Direct
0.0000 0.0000 0.0000
0.5000 0.5000 0.5000
0.0000 0.0000 0.5000
0.0000 0.5000 0.0000
0.5000 0.0000 0.0000
```

Values from the calculation:
D(E_F)	3.613	states/eV/f.u.
energy relative to the elements	2.7811	eV/atom
symmetry	Pm-3m (221)
volume	58.8	Å³/cell
E above lowest polymorph	14.4	kJ/mol of formula units
spin magnetization	0.00	Bohr magnetons per cell
energy	-22.5	eV/f.u.


[11]
VASP calculation (GGA-PBE) on crystalline Cu3AsC at its relaxed geometry.

Geometry as POSCAR:
```
Cu3AsC
1.0
4.4981 0.0000 0.0000
0.0000 4.4981 0.0000
0.0000 0.0000 4.4981
Cu As C
3 1 1
Direct
0.0000 0.0000 0.5000
0.0000 0.5000 0.0000
0.5000 0.0000 0.0000
0.0000 0.0000 0.0000
0.5000 0.5000 0.5000
```

Values from the calculation:
D(E_F)	3.303	states/eV/f.u.
energy relative to the elements	1.6480	eV/atom
symmetry	Pm-3m (221)
volume	91.0	Å³/cell
E above lowest polymorph	507.9	kJ/mol of formula units
spin magnetization	1.86	Bohr magnetons per cell
energy	-17.9	eV/f.u.


[12]
VASP calculation (GGA-PBE) on crystalline CuAsC2 at its relaxed geometry.

Geometry as POSCAR:
```
CuAsC2
1.0
-2.3230 2.3230 4.3892
2.3230 -2.3230 4.3892
2.3230 2.3230 -4.3892
Cu As C
2 2 4
Direct
0.0000 0.0000 0.0000
0.7500 0.2500 0.5000
0.2500 0.7500 0.5000
0.5000 0.5000 0.0000
0.1332 0.6250 0.0082
0.3750 0.3832 0.5082
0.6168 0.1250 0.9918
0.8750 0.8668 0.4918
```

Values from the calculation:
D(E_F)	1.249	states/eV/f.u.
energy relative to the elements	1.1498	eV/atom
symmetry	I-42d (122)
volume	94.7	Å³/cell
spin magnetization	0.00	Bohr magnetons per cell
energy	-22.6	eV/f.u.